# 1
# In2PW

A crystal of In2PW relaxed with PBEsol (meta-GGA SCAN, Alexandria).

Lattice parameters (Å, degrees): 2.9596 2.9596 29.3755 90.00 90.00 120.00
Space group R-3m (No. 166, hexagonal axes)
Symmetry-distinct sites (fractional):
In  0.0000  0.0000  0.2480 x6
P  0.0000  0.0000  0.0000 x3
W  0.0000  0.0000  0.5000 x3

Properties
The value obtained for the density is 9.936 Mg/m³. The value obtained for the formation energy is 740 meV per atom.

***

# 2
# TaNiTe5

A crystal of TaNiTe5 relaxed with PBEsol (meta-GGA SCAN, Alexandria).

Lattice parameters (Å, degrees): 3.644 13.070 15.109 90.00 90.00 90.00
Space group Cmcm (No. 63)
Symmetry-distinct sites (fractional):
Ta  0.000  0.010  0.250 x4
Ni  0.000  0.500  0.000 x4
Te  0.000  0.104  0.076 x8
Te  0.000  0.327  0.750 x4
Te  0.000  0.397  0.144 x8

Properties
The formation energy (no corrections) comes out at -0.303 eV per atom. The value obtained for the density is 8.101 Mg/m³.

***

# 3
# NaLiCu3

A crystal of NaLiCu3 relaxed with PBEsol (meta-GGA SCAN, Alexandria).

Lattice parameters (Å, degrees): 4.283 4.283 4.283 90.00 90.00 90.00
Space group Pm-3m (No. 221)
Symmetry-distinct sites (fractional):
Na  0.000  0.000  0.000 x1
Li  0.500  0.500  0.500 x1
Cu  0.000  0.500  0.500 x3

Properties
The value obtained for the density is 4.661 Mg/m³. The value obtained for the formation energy is 631 meV per atom.

***

# 4
# MoPWS2

A crystal of MoPWS2 relaxed with PBEsol (meta-GGA SCAN, Alexandria).

Lattice parameters (Å, degrees): 4.546 4.546 4.794 90.00 90.00 90.00
Space group P4/mmm (No. 123)
Symmetry-distinct sites (fractional):
Mo  0.000  0.000  0.000 x1
P  0.500  0.500  0.000 x1
W  0.500  0.500  0.500 x1
S  0.000  0.500  0.500 x2

Properties
The formation energy (no corrections) comes out at 0.772 eV per atom. The value obtained for the density is 6.282 Mg/m³.

***

# 5
# K2BeCo

A crystal of K2BeCo relaxed with PBEsol (meta-GGA SCAN, Alexandria).

Lattice parameters (Å, degrees): 3.110 3.110 9.637 90.00 90.00 90.00
Space group P4mm (No. 99)
Symmetry-distinct sites (fractional):
K  0.000  0.000  0.000 x1
K  0.500  0.500  0.435 x1
Be  0.000  0.000  0.703 x1
Co  0.500  0.500  0.730 x1

Properties
The value obtained for the density is 2.603 Mg/m³. The value obtained for the formation energy is 660 meV per atom.

***

# 6
# NaCaIn2Os

A crystal of NaCaIn2Os relaxed with PBEsol (meta-GGA SCAN, Alexandria).

Lattice parameters (Å, degrees): 5.469 5.469 4.985 90.00 90.00 90.00
Space group P4/mmm (No. 123)
Symmetry-distinct sites (fractional):
Na  0.000  0.000  0.000 x1
Ca  0.000  0.000  0.500 x1
In  0.000  0.500  0.500 x2
Os  0.500  0.500  0.000 x1

Properties
The value obtained for the density is 5.379 Mg/m³. The value obtained for the formation energy is 1850 meV per atom.

***

# 7
# Ca4Tl3O9

A crystal of Ca4Tl3O9 relaxed with PBEsol (meta-GGA SCAN, Alexandria).

Lattice parameters (Å, degrees): 11.107 3.345 12.180 90.00 102.34 90.00
Space group C2/m (No. 12)
Symmetry-distinct sites (fractional):
Ca  0.046  0.000  0.282 x4
Ca  0.239  0.500  0.873 x4
Tl  0.000  0.500  0.000 x2
Tl  0.149  0.500  0.563 x4
O  0.000  0.000  0.500 x2
O  0.095  0.500  0.715 x4
O  0.124  0.000  0.944 x4
O  0.124  0.500  0.164 x4
O  0.192  0.500  0.398 x4

Properties
The formation energy (no corrections) comes out at -1.933 eV per atom. The value obtained for the density is 6.893 Mg/m³.

***

# 8
# LaY2HfW

A crystal of LaY2HfW relaxed with PBEsol (meta-GGA SCAN, Alexandria).

Lattice parameters (Å, degrees): 5.343 5.343 5.328 90.00 90.00 90.00
Space group P4/mmm (No. 123)
Symmetry-distinct sites (fractional):
La  0.000  0.000  0.000 x1
Y  0.000  0.500  0.500 x2
Hf  0.500  0.500  0.000 x1
W  0.000  0.000  0.500 x1

Properties
The value obtained for the density is 7.415 Mg/m³. The value obtained for the formation energy is 930 meV per atom.